## MnSeIO2 (GGA+U)

Data for an optimized crystal structure of MnSeIO2.

Unit cell a=3.8886 b=3.8886 c=7.3333 alpha=90.00 beta=90.00 gamma=90.00
Last column: nearest neighbours and their distance in Å.
Element x y z (fractional)
I: 0.0000 0.0000 0.5000  4 Se 2.75
O: 0.0000 0.5000 0.0000  2 Mn 1.94
Se: 0.5000 0.5000 0.5000  4 I 2.75
O: 0.5000 0.0000 0.0000  2 Mn 1.94
Mn: 0.0000 0.0000 0.0000  4 O 1.94

Results
- volume (Å³ per cell) = 110.9
- size of the total moment (μB/f.u.) = 3.1
- calculated total energy (eV/atom) = -4.700